Entry 1:
Here is a relaxed structure of Sr2MgGa3Rh4 from Alexandria. Energies are from PBE.

Properties
D(E_F)	0.41	states/eV/atom
energy	-4.97	eV/atom
SG	P-4m2, No. 115
calculated formation energy	-606	kJ/mol of formula units
calculated volume	197.6	Å³/cell

a = 4.3782 Å, b = 4.3782 Å, c = 10.3067 Å
α = 90.00°, β = 90.00°, γ = 90.00°
With the nearest neighbours (Å) after each atom.
Sites, in units of the cell vectors:
Sr: 0.0000 0.5000 0.2386  8 Rh 3.29-3.37, 6 Ga 3.33-3.47, 2 Mg 3.47
Sr: 0.5000 0.0000 0.7614  8 Rh 3.29-3.37, 6 Ga 3.33-3.47, 2 Mg 3.47
Mg: 0.0000 0.0000 0.5000  4 Rh 2.58
Ga: 0.0000 0.5000 0.8804  5 Rh 2.51-2.55
Ga: 0.5000 0.0000 0.1196  5 Rh 2.51-2.55
Ga: 0.5000 0.5000 0.5000  4 Rh 2.58
Rh: 0.0000 0.0000 0.0000  4 Ga 2.51
Rh: 0.0000 0.5000 0.6333  3 Ga 2.55-2.58, 2 Mg 2.58
Rh: 0.5000 0.0000 0.3667  3 Ga 2.55-2.58, 2 Mg 2.58
Rh: 0.5000 0.5000 0.0000  4 Ga 2.51

Entry 2:
Here is a relaxed structure of SrMgGaRh from Alexandria. Energies are from PBE.

Properties
D(E_F)	0.94	states/eV/atom
energy	-3.83	eV/atom
SG	R3m, No. 160
calculated formation energy	-159	kJ/mol of formula units
calculated volume	98.1	Å³/cell

a = 6.1003 Å, b = 6.1003 Å, c = 6.1003 Å
α = 43.62°, β = 43.62°, γ = 43.62°
With the nearest neighbours (Å) after each atom.
Sites, in units of the cell vectors:
Sr: 0.0000 0.0000 0.0000  1 Rh 3.01, 1 Ga 3.21
Mg: 0.4818 0.4818 0.4818  3 Rh 2.62, 3 Ga 2.72
Ga: 0.1943 0.1943 0.1943  3 Rh 2.71, 3 Mg 2.72
Rh: 0.8179 0.8179 0.8179  3 Mg 2.62, 3 Ga 2.71

Entry 3:
Here is a relaxed structure of Sr2Mg6GaRh from Alexandria. Energies are from PBE.

Properties
D(E_F)	0.63	states/eV/atom
energy	-2.47	eV/atom
SG	C2/m, No. 12
calculated formation energy	-136	kJ/mol of formula units
calculated volume	276.7	Å³/cell

a = 7.3114 Å, b = 7.3114 Å, c = 7.3053 Å
α = 119.92°, β = 119.92°, γ = 90.04°
With the nearest neighbours (Å) after each atom.
Sites, in units of the cell vectors:
Sr: 0.2501 0.7499 0.0000  12 Mg 3.65-3.66
Sr: 0.7499 0.2501 0.0000  12 Mg 3.65-3.66
Mg: 0.2416 0.2416 0.4997  1 Rh 2.50, 1 Ga 2.67
Mg: 0.2417 0.2417 0.9835  1 Rh 2.50, 1 Ga 2.67
Mg: 0.2417 0.7583 0.5000  1 Rh 2.50, 1 Ga 2.67
Mg: 0.7583 0.2417 0.5000  1 Rh 2.50, 1 Ga 2.67
Mg: 0.7583 0.7583 0.0165  1 Rh 2.50, 1 Ga 2.67
Mg: 0.7584 0.7584 0.5003  1 Rh 2.50, 1 Ga 2.67
Ga: 0.5000 0.5000 0.5000  6 Mg 2.67
Rh: 0.0000 0.0000 0.5000  6 Mg 2.50

Entry 4:
Here is a relaxed structure of SrMg2GaRh from Alexandria. Energies are from PBE.

Properties
D(E_F)	0.61	states/eV/atom
energy	-3.42	eV/atom
SG	P4/mmm, No. 123
calculated formation energy	-179	kJ/mol of formula units
calculated volume	122.8	Å³/cell

a = 5.0204 Å, b = 5.0204 Å, c = 4.8709 Å
α = 90.00°, β = 90.00°, γ = 90.00°
With the nearest neighbours (Å) after each atom.
Sites, in units of the cell vectors:
Sr: 0.0000 0.0000 0.0000  8 Mg 3.50, 4 Ga 3.55
Mg: 0.0000 0.5000 0.5000  2 Rh 2.51
Mg: 0.5000 0.0000 0.5000  2 Rh 2.51
Ga: 0.5000 0.5000 0.0000  2 Rh 2.44
Rh: 0.5000 0.5000 0.5000  2 Ga 2.44, 4 Mg 2.51

Entry 5:
Here is a relaxed structure of Sr2MgGaRh from Alexandria. Energies are from PBE.

Properties
D(E_F)	0.53	states/eV/atom
energy	-3.27	eV/atom
SG	P4/mmm, No. 123
calculated formation energy	-100	kJ/mol of formula units
calculated volume	163.7	Å³/cell

a = 5.8123 Å, b = 5.8123 Å, c = 4.8466 Å
α = 90.00°, β = 90.00°, γ = 90.00°
With the nearest neighbours (Å) after each atom.
Sites, in units of the cell vectors:
Sr: 0.0000 0.5000 0.0000  2 Rh 2.91
Sr: 0.5000 0.0000 0.0000  2 Rh 2.91
Mg: 0.0000 0.0000 0.5000  8 Sr 3.78, 4 Ga 4.11
Ga: 0.5000 0.5000 0.5000  2 Rh 2.42
Rh: 0.5000 0.5000 0.0000  2 Ga 2.42

Entry 6:
Here is a relaxed structure of SrMg2GaRh2 from Alexandria. Energies are from PBE.

Properties
D(E_F)	0.90	states/eV/atom
energy	-4.11	eV/atom
SG	P4/mmm, No. 123
calculated formation energy	-198	kJ/mol of formula units
calculated volume	137.8	Å³/cell

a = 4.7083 Å, b = 4.7083 Å, c = 6.2182 Å
α = 90.00°, β = 90.00°, γ = 90.00°
With the nearest neighbours (Å) after each atom.
Sites, in units of the cell vectors:
Sr: 0.0000 0.0000 0.0000  2 Ga 3.11
Mg: 0.5000 0.5000 0.2668  4 Rh 2.76, 1 Mg 2.90
Mg: 0.5000 0.5000 0.7332  4 Rh 2.76, 1 Mg 2.90
Ga: 0.0000 0.0000 0.5000  4 Rh 2.35
Rh: 0.0000 0.5000 0.5000  2 Ga 2.35
Rh: 0.5000 0.0000 0.5000  2 Ga 2.35

Entry 7:
Here is a relaxed structure of Tb2MgGa4Rh3 from Alexandria. Energies are from PBE.

Properties
D(E_F)	0.54	states/eV/atom
energy	-5.19	eV/atom
SG	P-4m2, No. 115
calculated formation energy	-668	kJ/mol of formula units
calculated volume	186.1	Å³/cell

a = 4.0046 Å, b = 4.0046 Å, c = 11.6049 Å
α = 90.00°, β = 90.00°, γ = 90.00°
With the nearest neighbours (Å) after each atom.
Sites, in units of the cell vectors:
Tb: 0.0000 0.5000 0.2331  4 Rh 3.05, 8 Ga 3.15-3.37
Tb: 0.5000 0.0000 0.7669  4 Rh 3.05, 8 Ga 3.15-3.37
Mg: 0.0000 0.0000 0.5000  4 Ga 2.63, 4 Rh 2.83
Ga: 0.0000 0.0000 0.0000  4 Rh 2.55, 4 Ga 2.83
Ga: 0.0000 0.5000 0.6470  3 Rh 2.51-2.63, 2 Mg 2.63
Ga: 0.5000 0.0000 0.3530  3 Rh 2.51-2.63, 2 Mg 2.63
Ga: 0.5000 0.5000 0.0000  4 Rh 2.55, 4 Ga 2.83
Rh: 0.0000 0.5000 0.8635  5 Ga 2.51-2.55
Rh: 0.5000 0.0000 0.1365  5 Ga 2.51-2.55
Rh: 0.5000 0.5000 0.5000  4 Ga 2.63, 4 Mg 2.83

Entry 8:
Here is a relaxed structure of Tb2MgGa3Rh4 from Alexandria. Energies are from PBE.

Properties
D(E_F)	0.56	states/eV/atom
energy	-5.69	eV/atom
SG	P-4m2, No. 115
calculated formation energy	-729	kJ/mol of formula units
calculated volume	184.5	Å³/cell

a = 4.1850 Å, b = 4.1850 Å, c = 10.5334 Å
α = 90.00°, β = 90.00°, γ = 90.00°
With the nearest neighbours (Å) after each atom.
Sites, in units of the cell vectors:
Tb: 0.0000 0.5000 0.2340  6 Ga 3.18-3.50, 8 Rh 3.23, 2 Mg 3.50
Tb: 0.5000 0.0000 0.7660  6 Ga 3.18-3.50, 8 Rh 3.23, 2 Mg 3.50
Mg: 0.0000 0.0000 0.5000  4 Rh 2.58
Ga: 0.0000 0.5000 0.8753  5 Rh 2.45-2.47
Ga: 0.5000 0.0000 0.1247  5 Rh 2.45-2.47
Ga: 0.5000 0.5000 0.5000  4 Rh 2.58
Rh: 0.0000 0.0000 0.0000  4 Ga 2.47
Rh: 0.0000 0.5000 0.6431  3 Ga 2.45-2.58, 2 Mg 2.58
Rh: 0.5000 0.0000 0.3569  3 Ga 2.45-2.58, 2 Mg 2.58
Rh: 0.5000 0.5000 0.0000  4 Ga 2.47

Entry 9:
Here is a relaxed structure of ThMgGa2Rh4 from Alexandria. Energies are from PBE.

Properties
D(E_F)	0.32	states/eV/atom
energy	-6.32	eV/atom
SG	R-3m, No. 166
calculated formation energy	-588	kJ/mol of formula units
calculated volume	133.1	Å³/cell

a = 8.5148 Å, b = 8.5148 Å, c = 8.5148 Å
α = 29.57°, β = 29.57°, γ = 29.57°
With the nearest neighbours (Å) after each atom.
Sites, in units of the cell vectors:
Th: 0.0000 0.0000 0.0000  8 Rh 2.91-3.10
Mg: 0.5000 0.5000 0.5000  8 Rh 2.60-2.69
Ga: 0.2369 0.2369 0.2369  7 Rh 2.62-2.68
Ga: 0.7631 0.7631 0.7631  7 Rh 2.62-2.68
Rh: 0.1271 0.1271 0.1271  4 Ga 2.62-2.68, 3 Mg 2.69
Rh: 0.3936 0.3936 0.3936  1 Mg 2.60, 3 Ga 2.66
Rh: 0.6064 0.6064 0.6064  1 Mg 2.60, 3 Ga 2.66
Rh: 0.8729 0.8729 0.8729  4 Ga 2.62-2.68, 3 Mg 2.69

Entry 10:
Here is a relaxed structure of ThMgGaRh from Alexandria. Energies are from PBE.

Properties
D(E_F)	0.55	states/eV/atom
energy	-5.35	eV/atom
SG	F-43m, No. 216
calculated formation energy	-194	kJ/mol of formula units
calculated volume	83.0	Å³/cell

a = 4.8969 Å, b = 4.8969 Å, c = 4.8969 Å
α = 60.00°, β = 60.00°, γ = 60.00°
With the nearest neighbours (Å) after each atom.
Sites, in units of the cell vectors:
Th: 0.0000 0.0000 0.0000  4 Rh 3.00, 4 Ga 3.00
Mg: 0.5000 0.5000 0.5000  4 Rh 3.00, 4 Ga 3.00
Ga: 0.2500 0.2500 0.2500  4 Th 3.00, 4 Mg 3.00
Rh: 0.7500 0.7500 0.7500  4 Th 3.00, 4 Mg 3.00

Entry 11:
Here is a relaxed structure of Mg2TlGaRh from Alexandria. Energies are from PBE.

Properties
D(E_F)	0.47	states/eV/atom
energy	-3.37	eV/atom
SG	P4/mmm, No. 123
calculated formation energy	-89	kJ/mol of formula units
calculated volume	121.4	Å³/cell

a = 5.0418 Å, b = 5.0418 Å, c = 4.7743 Å
α = 90.00°, β = 90.00°, γ = 90.00°
With the nearest neighbours (Å) after each atom.
Sites, in units of the cell vectors:
Mg: 0.0000 0.5000 0.0000  2 Rh 2.52
Mg: 0.5000 0.0000 0.0000  2 Rh 2.52
Tl: 0.0000 0.0000 0.5000  8 Mg 3.47, 4 Ga 3.57
Ga: 0.5000 0.5000 0.5000  2 Rh 2.39
Rh: 0.5000 0.5000 0.0000  2 Ga 2.39, 4 Mg 2.52

Entry 12:
Here is a relaxed structure of MgTlGa2Rh from Alexandria. Energies are from PBE.

Properties
D(E_F)	0.23	states/eV/atom
energy	-3.71	eV/atom
SG	P4/mmm, No. 123
calculated formation energy	-114	kJ/mol of formula units
calculated volume	117.3	Å³/cell

a = 4.8033 Å, b = 4.8033 Å, c = 5.0843 Å
α = 90.00°, β = 90.00°, γ = 90.00°
With the nearest neighbours (Å) after each atom.
Sites, in units of the cell vectors:
Mg: 0.0000 0.0000 0.0000  2 Rh 2.54
Tl: 0.5000 0.5000 0.0000  4 Mg 3.40, 8 Ga 3.50
Ga: 0.0000 0.5000 0.5000  2 Rh 2.40
Ga: 0.5000 0.0000 0.5000  2 Rh 2.40
Rh: 0.0000 0.0000 0.5000  4 Ga 2.40, 2 Mg 2.54